Entry from Alexandria: an optimized crystal structure of NdThZnIn (GGA-PBE).

Structure (extended XYZ):
```
4
Lattice="0.000 3.792 3.792 3.792 0.000 3.792 3.792 3.792 0.000" Properties=species:S:1:pos:R:3 pbc="T T T"
Nd 0.000 0.000 0.000
Th 3.792 3.792 3.792
Zn 1.896 1.896 1.896
In 5.688 5.688 5.688
```

Values from the calculation:
- DFT total energy: -17.3 eV for the cell shown

=====

Entry from Alexandria: an optimized crystal structure of NdTiIn2 (GGA-PBE).

Structure (extended XYZ):
```
4
Lattice="4.612 0.000 0.000 0.000 4.612 0.000 0.000 0.000 4.604" Properties=species:S:1:pos:R:3 pbc="T T T"
Nd 0.000 0.000 0.000
Ti 2.306 2.306 0.000
In 0.000 2.306 2.302
In 2.306 0.000 2.302
```

Values from the calculation:
- DFT total energy: -18.9 eV for the cell shown

=====

| no. | formation energy (eV/atom) | density of states at the Fermi level (states/eV per cell) | mass density (g/cm3) |
| --- | --- | --- | --- |
| 1 | -0.269 | 3.29 | 8.48 |
| 2 | -0.190 | 2.74 | 7.15 |